# Er4ZnNi PBE optimized geometry
data_Er4ZnNi
_chemical_formula_sum 'Er8 Zn2 Ni2'
_space_group_name_H-M_alt 'P 1'
_space_group_IT_number 1
_cell_length_a 7.663
_cell_length_b 7.663
_cell_length_c 7.663
_cell_angle_alpha 108.28
_cell_angle_beta 108.28
_cell_angle_gamma 111.88
loop_
_space_group_symop_operation_xyz
'x,y,z'
loop_
_atom_site_label
_atom_site_type_symbol
_atom_site_fract_x
_atom_site_fract_y
_atom_site_fract_z
_atom_site_occupancy
Er1 Er 0.158 0.465 0.693 1
Er2 Er 0.215 0.021 0.807 1
Er3 Er 0.215 0.408 0.193 1
Er4 Er 0.297 0.000 0.297 1
Er5 Er 0.703 0.000 0.703 1
Er6 Er 0.750 0.547 0.797 1
Er7 Er 0.750 0.953 0.203 1
Er8 Er 0.771 0.465 0.307 1
Zn1 Zn 0.234 0.734 0.500 1
Zn2 Zn 0.484 0.484 0.000 1
Ni1 Ni 0.732 0.232 0.500 1
Ni2 Ni 0.982 0.982 0.000 1
# Space group = I4_1md
# ΔH_f (0 K) = 3 kJ/mol of formula units
# Polymorph energy (0 for the lowest one) = 301 meV per atom